# Ba2LiLaCu (GGA-PBEsol, optimized geometry)
data_Ba2LiLaCu
_chemical_formula_sum 'Ba2 Li1 La1 Cu1'
_cell_length_a 5.4273
_cell_length_b 6.3063
_cell_length_c 6.3063
_cell_angle_alpha 90.00
_cell_angle_beta 90.00
_cell_angle_gamma 90.00
_space_group_name_H-M_alt 'P 1'
_space_group_IT_number 1
loop_
_space_group_symop_operation_xyz
'x,y,z'
loop_
_atom_site_label
_atom_site_type_symbol
_atom_site_fract_x
_atom_site_fract_y
_atom_site_fract_z
_atom_site_occupancy
Ba1 Ba 0.0000 0.5000 0.0000 1
Ba2 Ba 0.0000 0.0000 0.5000 1
Li1 Li 0.5000 0.5000 0.5000 1
La1 La 0.5000 0.0000 0.0000 1
Cu1 Cu 0.0000 0.0000 0.0000 1
# space group	P4/mmm
# ΔH_f (0 K)	0.23	eV per atom
# VASP energy	-2.96	eV per atom

# YRe2 (GGA-PBEsol, optimized geometry)
data_YRe2
_chemical_formula_sum 'Y4 Re8'
_cell_length_a 5.3668
_cell_length_b 5.3668
_cell_length_c 8.7323
_cell_angle_alpha 90.00
_cell_angle_beta 90.00
_cell_angle_gamma 120.00
_space_group_name_H-M_alt 'P 1'
_space_group_IT_number 1
loop_
_space_group_symop_operation_xyz
'x,y,z'
loop_
_atom_site_label
_atom_site_type_symbol
_atom_site_fract_x
_atom_site_fract_y
_atom_site_fract_z
_atom_site_occupancy
Re1 Re 0.0000 0.0000 0.0000 1
Re2 Re 0.6587 0.8293 0.7500 1
Re3 Re 0.1707 0.8293 0.7500 1
Re4 Re 0.3413 0.1707 0.2500 1
Re5 Re 0.8293 0.6587 0.2500 1
Re6 Re 0.1707 0.3413 0.7500 1
Re7 Re 0.0000 0.0000 0.5000 1
Re8 Re 0.8293 0.1707 0.2500 1
Y1 Y 0.6667 0.3333 0.5624 1
Y2 Y 0.3333 0.6667 0.0624 1
Y3 Y 0.3333 0.6667 0.4376 1
Y4 Y 0.6667 0.3333 0.9376 1
# space group	P6_3/mmc
# ΔH_f (0 K)	-0.21	eV per atom
# VASP energy	-11.37	eV per atom

# Al2ZnIr (GGA-PBEsol, optimized geometry)
data_Al2ZnIr
_chemical_formula_sum 'Al2 Zn1 Ir1'
_cell_length_a 3.7854
_cell_length_b 3.7854
_cell_length_c 4.7120
_cell_angle_alpha 113.68
_cell_angle_beta 113.68
_cell_angle_gamma 90.00
_space_group_name_H-M_alt 'P 1'
_space_group_IT_number 1
loop_
_space_group_symop_operation_xyz
'x,y,z'
loop_
_atom_site_label
_atom_site_type_symbol
_atom_site_fract_x
_atom_site_fract_y
_atom_site_fract_z
_atom_site_occupancy
Al1 Al 0.7500 0.2500 0.5000 1
Al2 Al 0.5000 0.5000 0.0000 1
Zn1 Zn 0.2500 0.7500 0.5000 1
Ir1 Ir 0.0000 0.0000 0.0000 1
# space group	I-4m2
# ΔH_f (0 K)	-0.47	eV per atom
# VASP energy	-5.37	eV per atom

# Ba3YZn (GGA-PBEsol, optimized geometry)
data_Ba3YZn
_chemical_formula_sum 'Ba3 Y1 Zn1'
_cell_length_a 6.3232
_cell_length_b 6.3232
_cell_length_c 6.3232
_cell_angle_alpha 90.00
_cell_angle_beta 90.00
_cell_angle_gamma 90.00
_space_group_name_H-M_alt 'P 1'
_space_group_IT_number 1
loop_
_space_group_symop_operation_xyz
'x,y,z'
loop_
_atom_site_label
_atom_site_type_symbol
_atom_site_fract_x
_atom_site_fract_y
_atom_site_fract_z
_atom_site_occupancy
Ba1 Ba 0.5000 0.0000 0.0000 1
Ba2 Ba 0.0000 0.0000 0.5000 1
Ba3 Ba 0.0000 0.5000 0.0000 1
Zn1 Zn 0.5000 0.5000 0.5000 1
Y1 Y 0.0000 0.0000 0.0000 1
# space group	Pm-3m
# ΔH_f (0 K)	0.77	eV per atom
# VASP energy	-2.20	eV per atom

# BaSiAg3 (GGA-PBEsol, optimized geometry)
data_BaSiAg3
_chemical_formula_sum 'Ba1 Si1 Ag3'
_cell_length_a 5.6546
_cell_length_b 5.6546
_cell_length_c 5.6546
_cell_angle_alpha 90.00
_cell_angle_beta 90.00
_cell_angle_gamma 90.00
_space_group_name_H-M_alt 'P 1'
_space_group_IT_number 1
loop_
_space_group_symop_operation_xyz
'x,y,z'
loop_
_atom_site_label
_atom_site_type_symbol
_atom_site_fract_x
_atom_site_fract_y
_atom_site_fract_z
_atom_site_occupancy
Ag1 Ag 0.0000 0.5000 0.0000 1
Ag2 Ag 0.5000 0.0000 0.0000 1
Ag3 Ag 0.0000 0.0000 0.5000 1
Si1 Si 0.5000 0.5000 0.5000 1
Ba1 Ba 0.0000 0.0000 0.0000 1
# distance to the lowest polymorph of the same formula	1694	meV/atom
# space group	Pm-3m
# VASP energy	-1.96	eV per atom

# Co24Au5 (GGA-PBEsol, optimized geometry)
data_Co24Au5
_chemical_formula_sum 'Co24 Au5'
_cell_length_a 7.5724
_cell_length_b 7.5724
_cell_length_c 7.5724
_cell_angle_alpha 109.47
_cell_angle_beta 109.47
_cell_angle_gamma 109.47
_space_group_name_H-M_alt 'P 1'
_space_group_IT_number 1
loop_
_space_group_symop_operation_xyz
'x,y,z'
loop_
_atom_site_label
_atom_site_type_symbol
_atom_site_fract_x
_atom_site_fract_y
_atom_site_fract_z
_atom_site_occupancy
Co1 Co 0.0000 0.6737 0.3920 1
Co2 Co 0.6080 0.6080 0.2817 1
Co3 Co 0.1840 0.8056 0.8056 1
Co4 Co 0.6737 0.0000 0.3920 1
Co5 Co 0.7183 0.3263 0.3263 1
Co6 Co 0.3784 0.0000 0.1944 1
Co7 Co 0.1944 0.0000 0.3784 1
Co8 Co 0.2817 0.6080 0.6080 1
Co9 Co 0.3920 0.6737 0.0000 1
Co10 Co 0.6737 0.3920 0.0000 1
Co11 Co 0.6216 0.6216 0.8160 1
Co12 Co 0.1944 0.3784 0.0000 1
Co13 Co 0.0000 0.3784 0.1944 1
Co14 Co 0.3920 0.0000 0.6737 1
Co15 Co 0.3263 0.3263 0.7183 1
Co16 Co 0.6216 0.8160 0.6216 1
Co17 Co 0.0000 0.3920 0.6737 1
Co18 Co 0.3784 0.1944 0.0000 1
Co19 Co 0.6080 0.2817 0.6080 1
Co20 Co 0.8160 0.6216 0.6216 1
Co21 Co 0.3263 0.7183 0.3263 1
Co22 Co 0.8056 0.8056 0.1840 1
Co23 Co 0.8056 0.1840 0.8056 1
Co24 Co 0.0000 0.1944 0.3784 1
Au1 Au 0.0000 0.6309 0.0000 1
Au2 Au 0.3691 0.3691 0.3691 1
Au3 Au 0.0000 0.0000 0.0000 1
Au4 Au 0.0000 0.0000 0.6309 1
Au5 Au 0.6309 0.0000 0.0000 1
# space group	I-43m
# ΔH_f (0 K)	0.10	eV per atom
# VASP energy	-6.98	eV per atom

# Zr2SnW2 (GGA-PBEsol, optimized geometry)
data_Zr2SnW2
_chemical_formula_sum 'Zr2 Sn1 W2'
_cell_length_a 3.5693
_cell_length_b 3.5693
_cell_length_c 8.7685
_cell_angle_alpha 101.74
_cell_angle_beta 101.74
_cell_angle_gamma 90.00
_space_group_name_H-M_alt 'P 1'
_space_group_IT_number 1
loop_
_space_group_symop_operation_xyz
'x,y,z'
loop_
_atom_site_label
_atom_site_type_symbol
_atom_site_fract_x
_atom_site_fract_y
_atom_site_fract_z
_atom_site_occupancy
W1 W 0.7500 0.2500 0.5000 1
W2 W 0.2500 0.7500 0.5000 1
Zr1 Zr 0.3913 0.3913 0.7827 1
Zr2 Zr 0.6087 0.6087 0.2173 1
Sn1 Sn 0.0000 0.0000 0.0000 1
# space group	I4/mmm
# ΔH_f (0 K)	0.39	eV per atom
# VASP energy	-9.62	eV per atom

# CrBr2F (GGA-PBEsol, optimized geometry)
data_CrBr2F
_chemical_formula_sum 'Cr1 Br2 F1'
_cell_length_a 4.1356
_cell_length_b 4.1356
_cell_length_c 7.6564
_cell_angle_alpha 74.33
_cell_angle_beta 74.33
_cell_angle_gamma 60.00
_space_group_name_H-M_alt 'P 1'
_space_group_IT_number 1
loop_
_space_group_symop_operation_xyz
'x,y,z'
loop_
_atom_site_label
_atom_site_type_symbol
_atom_site_fract_x
_atom_site_fract_y
_atom_site_fract_z
_atom_site_occupancy
F1 F 0.5000 0.5000 0.5000 1
Br1 Br 0.8985 0.8985 0.3044 1
Br2 Br 0.1015 0.1015 0.6956 1
Cr1 Cr 0.0000 0.0000 0.0000 1
# space group	R-3m
# VASP energy	-3.92	eV per atom

# CdWSe (GGA-PBEsol, optimized geometry)
data_CdWSe
_chemical_formula_sum 'Cd1 W1 Se1'
_cell_length_a 2.7191
_cell_length_b 4.7261
_cell_length_c 4.7261
_cell_angle_alpha 120.00
_cell_angle_beta 90.00
_cell_angle_gamma 90.00
_space_group_name_H-M_alt 'P 1'
_space_group_IT_number 1
loop_
_space_group_symop_operation_xyz
'x,y,z'
loop_
_atom_site_label
_atom_site_type_symbol
_atom_site_fract_x
_atom_site_fract_y
_atom_site_fract_z
_atom_site_occupancy
Se1 Se 0.5000 0.3333 0.6667 1
W1 W 0.5000 0.6667 0.3333 1
Cd1 Cd 0.0000 0.0000 0.0000 1
# distance to the lowest polymorph of the same formula	410	meV/atom
# space group	P-6m2
# VASP energy	-5.67	eV per atom

# MgCrIn2 (GGA-PBEsol, optimized geometry)
data_MgCrIn2
_chemical_formula_sum 'Mg1 Cr1 In2'
_cell_length_a 4.3215
_cell_length_b 4.3215
_cell_length_c 5.1394
_cell_angle_alpha 114.86
_cell_angle_beta 114.86
_cell_angle_gamma 90.00
_space_group_name_H-M_alt 'P 1'
_space_group_IT_number 1
loop_
_space_group_symop_operation_xyz
'x,y,z'
loop_
_atom_site_label
_atom_site_type_symbol
_atom_site_fract_x
_atom_site_fract_y
_atom_site_fract_z
_atom_site_occupancy
In1 In 0.7500 0.2500 0.5000 1
In2 In 0.2500 0.7500 0.5000 1
Mg1 Mg 0.5000 0.5000 0.0000 1
Cr1 Cr 0.0000 0.0000 0.0000 1
# space group	I4/mmm
# ΔH_f (0 K)	0.17	eV per atom
# VASP energy	-4.31	eV per atom

Total moment values, unit Bohr magnetons per cell, following the record order: 0.00, 0.00, 0.00, 0.00, 0.25, 39.51, 0.00, 3.00, 0.00, 3.28.
DOS(E_F) values, unit states/eV/atom, following the record order: 1.20, 0.70, 0.19, 1.84, 0.65, 0.86, 1.17, 0.32, 0.53, 0.42.